A:
Density functional theory data (GGA-PBEsol) for a geometry-optimized Fe2TcAg structure.

Cell and atoms, written as CIF:
```
data_Fe2TcAg
_cell_length_a 2.637
_cell_length_b 2.637
_cell_length_c 7.525
_cell_angle_alpha 90.00
_cell_angle_beta 90.00
_cell_angle_gamma 90.00
_space_group_name_H-M_alt 'P 4 m m'
_space_group_IT_number 99
_space_group_name_Hall 'P 4 -2'
loop_
_atom_site_label
_atom_site_type_symbol
_atom_site_fract_x
_atom_site_fract_y
_atom_site_fract_z
Fe1 Fe 0.000 0.000 0.000
Fe2 Fe 0.500 0.500 0.215
Tc1 Tc 0.000 0.000 0.433
Ag1 Ag 0.500 0.500 0.729
```

***

B:
Density functional theory data (GGA-PBEsol) for a geometry-optimized Fe2TcAg structure.

Cell and atoms, written as CIF:
```
data_Fe2TcAg
_cell_length_a 4.359
_cell_length_b 4.359
_cell_length_c 2.810
_cell_angle_alpha 90.00
_cell_angle_beta 90.00
_cell_angle_gamma 90.00
_space_group_name_H-M_alt 'P 4/m m m'
_space_group_IT_number 123
_space_group_name_Hall '-P 4 2'
loop_
_atom_site_label
_atom_site_type_symbol
_atom_site_fract_x
_atom_site_fract_y
_atom_site_fract_z
Fe1 Fe 0.000 0.500 0.000
Tc1 Tc 0.000 0.000 0.500
Ag1 Ag 0.500 0.500 0.500
```

***

C:
Density functional theory data (GGA-PBEsol) for a geometry-optimized Fe2TcAg structure.

Cell and atoms, written as CIF:
```
data_Fe2TcAg
_cell_length_a 5.937
_cell_length_b 5.937
_cell_length_c 5.937
_cell_angle_alpha 90.00
_cell_angle_beta 90.00
_cell_angle_gamma 90.00
_space_group_name_H-M_alt 'F m -3 m'
_space_group_IT_number 225
_space_group_name_Hall '-F 4 2 3'
loop_
_atom_site_label
_atom_site_type_symbol
_atom_site_fract_x
_atom_site_fract_y
_atom_site_fract_z
Fe1 Fe 0.250 0.250 0.250
Tc1 Tc 0.000 0.000 0.000
Ag1 Ag 0.000 0.000 0.500
```

***

Energy comparison, zero being the most stable, in kJ/mol of atoms: A 0.0; B 18.4; C 21.7.

***

A:
Density functional theory data (GGA-PBEsol) for a geometry-optimized FeAgW2 structure.

Cell and atoms, written as CIF:
```
data_FeAgW2
_cell_length_a 9.056
_cell_length_b 2.631
_cell_length_c 4.973
_cell_angle_alpha 90.00
_cell_angle_beta 97.14
_cell_angle_gamma 90.00
_space_group_name_H-M_alt 'C 1 m 1'
_space_group_IT_number 8
_space_group_name_Hall 'C -2y'
loop_
_atom_site_label
_atom_site_type_symbol
_atom_site_fract_x
_atom_site_fract_y
_atom_site_fract_z
Fe1 Fe 0.000 0.000 0.000
Ag1 Ag 0.247 0.500 0.239
W1 W 0.256 0.000 0.756
W2 W 0.499 0.000 0.497
```

***

B:
Density functional theory data (GGA-PBEsol) for a geometry-optimized FeAgW2 structure.

Cell and atoms, written as CIF:
```
data_FeAgW2
_cell_length_a 3.134
_cell_length_b 4.248
_cell_length_c 8.828
_cell_angle_alpha 90.00
_cell_angle_beta 90.00
_cell_angle_gamma 90.00
_space_group_name_H-M_alt 'C m m m'
_space_group_IT_number 65
_space_group_name_Hall '-C 2 2'
loop_
_atom_site_label
_atom_site_type_symbol
_atom_site_fract_x
_atom_site_fract_y
_atom_site_fract_z
Fe1 Fe 0.000 0.000 0.000
Ag1 Ag 0.000 0.000 0.500
W1 W 0.000 0.500 0.229
```

***

Energy comparison, zero being the most stable, in kJ/mol of atoms: A 10.9; B 0.0.

***

A:
Density functional theory data (GGA-PBEsol) for a geometry-optimized FeAg2W structure.

Cell and atoms, written as CIF:
```
data_FeAg2W
_cell_length_a 3.633
_cell_length_b 3.633
_cell_length_c 8.734
_cell_angle_alpha 90.00
_cell_angle_beta 90.00
_cell_angle_gamma 90.00
_space_group_name_H-M_alt 'I 4/m m m'
_space_group_IT_number 139
_space_group_name_Hall '-I 4 2'
loop_
_atom_site_label
_atom_site_type_symbol
_atom_site_fract_x
_atom_site_fract_y
_atom_site_fract_z
Fe1 Fe 0.000 0.000 0.000
Ag1 Ag 0.000 0.500 0.250
W1 W 0.000 0.000 0.500
```

***

B:
Density functional theory data (GGA-PBEsol) for a geometry-optimized FeAg2W structure.

Cell and atoms, written as CIF:
```
data_FeAg2W
_cell_length_a 6.233
_cell_length_b 6.233
_cell_length_c 6.233
_cell_angle_alpha 90.00
_cell_angle_beta 90.00
_cell_angle_gamma 90.00
_space_group_name_H-M_alt 'F m -3 m'
_space_group_IT_number 225
_space_group_name_Hall '-F 4 2 3'
loop_
_atom_site_label
_atom_site_type_symbol
_atom_site_fract_x
_atom_site_fract_y
_atom_site_fract_z
Fe1 Fe 0.000 0.000 0.000
Ag1 Ag 0.250 0.250 0.250
W1 W 0.000 0.000 0.500
```

***

C:
Density functional theory data (GGA-PBEsol) for a geometry-optimized FeAg2W structure.

Cell and atoms, written as CIF:
```
data_FeAg2W
_cell_length_a 2.7361
_cell_length_b 2.7361
_cell_length_c 28.0003
_cell_angle_alpha 90.00
_cell_angle_beta 90.00
_cell_angle_gamma 120.00
_space_group_name_H-M_alt 'R -3 m'
_space_group_IT_number 166
_space_group_name_Hall '-R 3 2"'
loop_
_atom_site_label
_atom_site_type_symbol
_atom_site_fract_x
_atom_site_fract_y
_atom_site_fract_z
Fe1 Fe 0.0000 0.0000 0.0000
Ag1 Ag 0.0000 0.0000 0.2535
W1 W 0.0000 0.0000 0.5000
```

***

Energy comparison, zero being the most stable, in kJ/mol of atoms: A 13.3; B 37.8; C 0.0.

***

A:
Density functional theory data (GGA-PBEsol) for a geometry-optimized YFe2Ag structure.

Cell and atoms, written as CIF:
```
data_YFe2Ag
_cell_length_a 3.962
_cell_length_b 3.962
_cell_length_c 8.298
_cell_angle_alpha 90.00
_cell_angle_beta 90.00
_cell_angle_gamma 90.00
_space_group_name_H-M_alt 'I 4/m m m'
_space_group_IT_number 139
_space_group_name_Hall '-I 4 2'
loop_
_atom_site_label
_atom_site_type_symbol
_atom_site_fract_x
_atom_site_fract_y
_atom_site_fract_z
Y1 Y 0.000 0.000 0.000
Fe1 Fe 0.000 0.500 0.250
Ag1 Ag 0.000 0.000 0.500
```

***

B:
Density functional theory data (GGA-PBEsol) for a geometry-optimized YFe2Ag structure.

Cell and atoms, written as CIF:
```
data_YFe2Ag
_cell_length_a 2.9093
_cell_length_b 2.9093
_cell_length_c 27.2106
_cell_angle_alpha 90.00
_cell_angle_beta 90.00
_cell_angle_gamma 120.00
_space_group_name_H-M_alt 'R -3 m'
_space_group_IT_number 166
_space_group_name_Hall '-R 3 2"'
loop_
_atom_site_label
_atom_site_type_symbol
_atom_site_fract_x
_atom_site_fract_y
_atom_site_fract_z
Y1 Y 0.0000 0.0000 0.0000
Fe1 Fe 0.0000 0.0000 0.2454
Ag1 Ag 0.0000 0.0000 0.5000
```

***

Energy comparison, zero being the most stable, in kJ/mol of atoms: A 0.0; B 33.8.

***

A:
Density functional theory data (GGA-PBEsol) for a geometry-optimized ZrFeAg2 structure.

Cell and atoms, written as CIF:
```
data_ZrFeAg2
_cell_length_a 3.771
_cell_length_b 3.771
_cell_length_c 8.923
_cell_angle_alpha 90.00
_cell_angle_beta 90.00
_cell_angle_gamma 90.00
_space_group_name_H-M_alt 'I 4/m m m'
_space_group_IT_number 139
_space_group_name_Hall '-I 4 2'
loop_
_atom_site_label
_atom_site_type_symbol
_atom_site_fract_x
_atom_site_fract_y
_atom_site_fract_z
Zr1 Zr 0.000 0.000 0.000
Fe1 Fe 0.000 0.000 0.500
Ag1 Ag 0.000 0.500 0.250
```

***

B:
Density functional theory data (GGA-PBEsol) for a geometry-optimized ZrFeAg2 structure.

Cell and atoms, written as CIF:
```
data_ZrFeAg2
_cell_length_a 6.401
_cell_length_b 6.401
_cell_length_c 6.401
_cell_angle_alpha 90.00
_cell_angle_beta 90.00
_cell_angle_gamma 90.00
_space_group_name_H-M_alt 'F -4 3 m'
_space_group_IT_number 216
_space_group_name_Hall 'F -4 2 3'
loop_
_atom_site_label
_atom_site_type_symbol
_atom_site_fract_x
_atom_site_fract_y
_atom_site_fract_z
Zr1 Zr 0.000 0.000 0.000
Fe1 Fe 0.250 0.250 0.750
Ag1 Ag 0.000 0.000 0.500
Ag2 Ag 0.250 0.250 0.250
```

***

Energy comparison, zero being the most stable, in kJ/mol of atoms: A 0.0; B 11.0.

***

A:
Density functional theory data (GGA-PBEsol) for a geometry-optimized Zr2FeAg structure.

Cell and atoms, written as CIF:
```
data_Zr2FeAg
_cell_length_a 3.043
_cell_length_b 3.042
_cell_length_c 7.460
_cell_angle_alpha 90.00
_cell_angle_beta 90.09
_cell_angle_gamma 90.00
_space_group_name_H-M_alt 'P 1 2/m 1'
_space_group_IT_number 10
_space_group_name_Hall '-P 2y'
loop_
_atom_site_label
_atom_site_type_symbol
_atom_site_fract_x
_atom_site_fract_y
_atom_site_fract_z
Zr1 Zr 0.001 0.000 0.285
Fe1 Fe 0.500 0.500 0.500
Ag1 Ag 0.500 0.500 0.000
```

***

B:
Density functional theory data (GGA-PBEsol) for a geometry-optimized Zr2FeAg structure.

Cell and atoms, written as CIF:
```
data_Zr2FeAg
_cell_length_a 3.321
_cell_length_b 3.321
_cell_length_c 6.449
_cell_angle_alpha 90.00
_cell_angle_beta 90.00
_cell_angle_gamma 90.00
_space_group_name_H-M_alt 'P 4 m m'
_space_group_IT_number 99
_space_group_name_Hall 'P 4 -2'
loop_
_atom_site_label
_atom_site_type_symbol
_atom_site_fract_x
_atom_site_fract_y
_atom_site_fract_z
Zr1 Zr 0.000 0.000 0.000
Zr2 Zr 0.500 0.500 0.300
Fe1 Fe 0.500 0.500 0.796
Ag1 Ag 0.000 0.000 0.559
```

***

Energy comparison, zero being the most stable, in kJ/mol of atoms: A 0.0; B 19.0.